A geometry-optimized MgCrAu structure. Source: Alexandria, functional PBE.

## Properties
Mass density = 8.43 g/cm³
Formation energy = 97 meV/atom

Cell: 4.5637 4.5637 2.9842 Å, 90.00 90.00 120.00°
Last column: nearest neighbours and their distance in Å.
Fractional coordinates of all 3 atoms:
Mg1 0.0000 0.0000 0.0000  3 Au 2.75, 3 Cr 2.87-2.88, 2 Mg 2.98
Cr1 0.6667 0.3333 0.6145  3 Au 2.83, 3 Mg 2.87-2.88, 2 Cr 2.98
Au1 0.3333 0.6667 0.2662  3 Mg 2.75, 3 Cr 2.83, 2 Au 2.98